An optimized crystal structure of LaDy4Th5, computed with PBE-GGA.

Cell lengths 3.5458, 8.3947, 11.4053 Å; angles 88.41, 98.94, 90.00 degrees
Last column: nearest neighbours and their distance in Å.
Fractional positions:
La: 0.5000 0.0000 0.0000  2 La 3.55, 4 Dy 3.58
Dy: 0.3204 0.0087 0.6409  5 Th 3.27-3.66, 6 Dy 3.44-3.64
Dy: 0.9059 0.7359 0.8117  4 Th 3.31-3.47, 4 Dy 3.44-3.55, 2 La 3.58
Dy: 0.6796 0.9913 0.3591  5 Th 3.27-3.66, 6 Dy 3.44-3.64
Dy: 0.0941 0.2641 0.1883  4 Th 3.31-3.47, 4 Dy 3.44-3.55, 2 La 3.58
Th: 0.7623 0.6645 0.5246  4 Dy 3.27-3.66, 4 Th 3.34-3.55
Th: 0.8851 0.3280 0.7702  3 Dy 3.47-3.56, 6 Th 3.48-3.76
Th: 0.1149 0.6720 0.2298  3 Dy 3.47-3.56, 6 Th 3.48-3.76
Th: 0.5000 0.5000 0.0000  4 Dy 3.37, 6 Th 3.48-3.55
Th: 0.2377 0.3355 0.4754  4 Dy 3.27-3.66, 4 Th 3.34-3.55

## Properties
Electronic total energy, eV/cell: -58.43
Calculated volume, Å³ per cell: 335.2
Energy of formation, meV per atom: 200.9
Spin magnetization, μB per atom: 0.000